# 1
## Al2PtRh (SCAN)

Data for Al2PtRh at its PBEsol-relaxed geometry.

Summary:
ΔE_f: -1244.0 meV/atom

```
Al2PtRh
1.0
2.913 0.000 0.000
0.000 3.281 0.000
0.000 0.000 5.729
Al Pt Rh
2 1 1
direct
0.000 0.000 0.243 Al
0.000 0.000 0.757 Al
0.500 0.500 0.500 Pt
0.500 0.500 0.000 Rh
```

=====

# 2
## Al2PtRh (SCAN)

Data for Al2PtRh at its PBEsol-relaxed geometry.

Summary:
ΔE_f: -1241.8 meV/atom

```
Al2PtRh
1.0
2.861 -3.271 0.000
2.861 3.271 0.000
0.000 0.000 2.930
Al Pt Rh
2 1 1
direct
0.000 0.500 0.000 Al
0.500 0.000 0.000 Al
0.000 0.000 0.500 Pt
0.500 0.500 0.500 Rh
```

=====

# 3
## Al2PtRh (SCAN)

Data for Al2PtRh at its PBEsol-relaxed geometry.

Summary:
ΔE_f: -1264.3 meV/atom

```
Al2PtRh
1.0
4.030 0.000 0.000
0.000 4.030 0.000
0.000 0.000 3.368
Al Pt Rh
2 1 1
direct
0.000 0.500 0.000 Al
0.500 0.000 0.000 Al
0.000 0.000 0.500 Pt
0.500 0.500 0.500 Rh
```

=====

# 4
## Al3PtRh (SCAN)

Data for Al3PtRh at its PBEsol-relaxed geometry.

Summary:
ΔE_f: -7.6 meV/atom

```
Al3PtRh
1.0
4.603 0.000 0.000
0.000 4.603 0.000
0.000 0.000 4.603
Al Pt Rh
3 1 1
direct
0.000 0.000 0.500 Al
0.000 0.500 0.000 Al
0.500 0.000 0.000 Al
0.000 0.000 0.000 Pt
0.500 0.500 0.500 Rh
```

=====

In eV/atom, the final energy values for the records above are, in order, -31.11 -31.11 -31.13 -25.45.